Compound: FeCuRh3
Source: Alexandria
Functional: PBE-GGA
Structure: relaxed

Lattice parameters (Å, degrees): 4.4293 4.4293 4.4293 90.00 90.00 90.00
With the nearest neighbours (Å) after each atom.
Atoms (fractional coordinates):
Rh 0.0000 0.0000 0.5000  2 Fe 2.21
Cu 0.5000 0.5000 0.5000  12 Rh 3.13
Rh 0.0000 0.5000 0.0000  2 Fe 2.21
Fe 0.0000 0.0000 0.0000  6 Rh 2.21
Rh 0.5000 0.0000 0.0000  2 Fe 2.21

space group = Pm-3m
ΔH_f (0 K) = 1.143 eV/atom
ΔE to the lowest computed polymorph = 882.8 meV per atom

=====

Compound: SiAgPbAu6
Source: Alexandria
Functional: PBE-GGA
Structure: relaxed

Lattice parameters (Å, degrees): 7.0403 9.4015 8.0907 125.52 115.79 90.00
With the nearest neighbours (Å) after each atom.
Atoms (fractional coordinates):
Au 0.9733 0.2233 0.9466  2 Ag 3.05, 8 Au 3.05-3.15, 1 Pb 3.37
Pb 0.7235 0.4735 0.4471  10 Au 3.08-3.37, 2 Si 3.42
Au 0.9245 0.1380 0.2529  1 Si 2.53, 1 Au 2.82
Ag 0.5000 0.0000 0.5000  8 Au 2.81-3.05
Au 0.0755 0.3851 0.7471  1 Si 2.53, 1 Au 2.82
Au 0.5532 0.8032 0.1064  2 Si 2.42
Au 0.9245 0.6149 0.2529  1 Si 2.53, 1 Au 2.82
Pb 0.2765 0.5265 0.5529  10 Au 3.08-3.37, 2 Si 3.42
Si 0.5000 0.0000 0.0000  6 Au 2.42-2.53
Au 0.0267 0.7767 0.0534  2 Ag 3.05, 8 Au 3.05-3.15, 1 Pb 3.37
Au 0.4468 0.1968 0.8936  2 Si 2.42
Si 0.5000 0.5000 0.0000  6 Au 2.42-2.53
Au 0.6716 0.8620 0.7471  1 Si 2.53, 1 Au 2.82
Au 0.0755 0.8620 0.7471  1 Si 2.53, 1 Au 2.82
Au 0.6716 0.3851 0.7471  1 Si 2.53, 1 Au 2.82
Ag 0.0000 0.0000 0.5000  8 Au 2.81-3.05
Au 0.3284 0.6149 0.2529  1 Si 2.53, 1 Au 2.82
Au 0.3284 0.1380 0.2529  1 Si 2.53, 1 Au 2.82

space group = Imma
raw formation energy = 0.6 eV/f.u.

=====

Compound: Te4PdPt
Source: Alexandria
Functional: PBE-GGA
Structure: relaxed

Lattice parameters (Å, degrees): 4.0908 5.2693 7.0979 90.14 90.00 90.00
With the nearest neighbours (Å) after each atom.
Atoms (fractional coordinates):
Te 0.5000 0.2637 0.8376  2 Pt 2.73, 1 Pd 2.77
Te 0.0000 0.7441 0.6686  1 Pt 2.71, 2 Pd 2.73
Pt 0.0000 0.0000 0.0000  6 Te 2.71-2.73
Te 0.0000 0.2559 0.3314  1 Pt 2.71, 2 Pd 2.73
Pd 0.5000 0.0000 0.5000  6 Te 2.73-2.77
Te 0.5000 0.7363 0.1624  2 Pt 2.73, 1 Pd 2.77

space group = P2/m
raw formation energy = -2.2 eV/f.u.

=====

Compound: ScCd2Pt
Source: Alexandria
Functional: PBE-GGA
Structure: relaxed

Lattice parameters (Å, degrees): 5.2712 5.2712 4.5477 72.66 72.66 40.77
With the nearest neighbours (Å) after each atom.
Atoms (fractional coordinates):
Pt 0.2500 0.2500 0.2500  6 Cd 2.91-3.09, 4 Sc 2.92
Sc 0.7500 0.7500 0.7500  4 Pt 2.92, 6 Cd 2.97-3.08
Cd 0.5110 0.5110 0.4846  4 Cd 2.88-2.99, 3 Pt 2.91-3.09, 3 Sc 2.97-3.08
Cd 0.9890 0.9890 0.0154  4 Cd 2.88-2.99, 3 Pt 2.91-3.09, 3 Sc 2.97-3.08

space group = C2/m
ΔH_f (0 K) = -0.465 eV/atom

=====

Compound: LaNb2S
Source: Alexandria
Functional: PBE-GGA
Structure: relaxed

Lattice parameters (Å, degrees): 4.0443 4.0443 10.8636 79.27 79.27 90.00
With the nearest neighbours (Å) after each atom.
Atoms (fractional coordinates):
Nb 0.1483 0.6250 0.2500  4 Nb 2.73-3.00, 2 S 2.95, 2 La 3.02
S 0.2500 0.7500 0.5000  4 La 2.86, 4 Nb 2.95
La 0.7500 0.2500 0.5000  4 S 2.86, 4 Nb 3.02
La 0.0000 0.0000 0.0000  4 S 2.86, 4 Nb 3.02
S 0.5000 0.5000 0.0000  4 La 2.86, 4 Nb 2.95
Nb 0.8750 0.8517 0.7500  4 Nb 2.73-3.00, 2 S 2.95, 2 La 3.02
Nb 0.6017 0.1250 0.2500  4 Nb 2.73-3.00, 2 S 2.95, 2 La 3.02
Nb 0.3750 0.3983 0.7500  4 Nb 2.73-3.00, 2 S 2.95, 2 La 3.02

space group = I-42d
raw formation energy = -0.3 eV/f.u.

=====

Compound: Nd2ErCd
Source: Alexandria
Functional: PBE-GGA
Structure: relaxed

Lattice parameters (Å, degrees): 3.7049 3.7049 9.0157 90.00 90.00 90.00
With the nearest neighbours (Å) after each atom.
Atoms (fractional coordinates):
Cd 0.5000 0.5000 0.0000  8 Nd 3.34, 4 Cd 3.70
Nd 0.0000 0.0000 0.7709  4 Cd 3.34, 4 Er 3.58, 4 Nd 3.70
Nd 0.0000 0.0000 0.2291  4 Cd 3.34, 4 Er 3.58, 4 Nd 3.70
Er 0.5000 0.5000 0.5000  8 Nd 3.58, 4 Er 3.70

space group = P4/mmm
ΔH_f (0 K) = -0.133 eV/atom
ΔE to the lowest computed polymorph = 12.8 meV per atom

=====

| no. | electronic total energy (eV per formula unit) | magnetic moment (μB/f.u.) |
| --- | --- | --- |
| 1 | -28.9 | 1.38 |
| 2 | -31.0 | 0.00 |
| 3 | -26.0 | 0.00 |
| 4 | -16.1 | 0.00 |
| 5 | -29.5 | 0.00 |
| 6 | -15.5 | 0.00 |